Entry from the Alexandria database: crystalline LaFe2RhN at its relaxed geometry (PBE).

abc: 3.9591 4.7484 3.9591
angles: 90.00 90.00 90.00
Atoms (fractional coordinates):
N 0.0000 0.0000 0.0000
Rh 0.0000 0.5000 0.0000
Fe 0.0000 0.0000 0.5000
Fe 0.5000 0.0000 0.0000
La 0.5000 0.5000 0.5000

Properties
M_tot	0.941	μB/atom
E_form (uncorrected)	-45	meV per atom